Entry 1:
Below is a PBEsol-optimized structure of CrRh2, with properties calculated at the meta-GGA SCAN level.

formation energy from the elements: -0.091 eV/atom

Cell lengths 7.057, 7.057, 2.659 Å; angles 90.00, 90.00, 120.00 degrees
Fractional coordinates of all 9 atoms:
1 Cr 0.000 0.000 0.000
2 Cr 0.333 0.667 0.500
3 Cr 0.667 0.333 0.500
4 Rh 0.000 0.363 0.000
5 Rh 0.000 0.702 0.500
6 Rh 0.298 0.298 0.500
7 Rh 0.363 0.000 0.000
8 Rh 0.637 0.637 0.000
9 Rh 0.702 0.000 0.500

---

Entry 2:
Below is a PBEsol-optimized structure of ZrSc2Al, with properties calculated at the meta-GGA SCAN level.

formation energy from the elements: -0.132 eV/atom

Cell lengths 5.242, 3.109, 5.349 Å; angles 90.00, 107.46, 90.00 degrees
Fractional coordinates of all 4 atoms:
1 Zr 0.000 0.000 0.000
2 Sc 0.500 0.000 0.500
3 Sc 0.500 0.500 0.000
4 Al 0.000 0.500 0.500